1.
DFT (PBE) results for a relaxed CdHgAu4 crystal.

Properties
Total DFT energy (no corrections) ... -2.406 eV per atom
ΔE_f ... -18 meV/atom
ΔE to the lowest computed polymorph ... 0.009 eV per atom

Structure (POSCAR):
```
CdHgAu4
1.0
5.597 0.000 0.000
2.798 4.847 0.000
2.798 1.616 4.570
Au Cd Hg
4 1 1
Direct
0.625 0.625 0.625
0.625 0.625 0.125
0.125 0.625 0.625
0.625 0.125 0.625
0.250 0.250 0.250
0.000 0.000 0.000
```

2.
DFT (PBE) results for a relaxed PmCdCu10 crystal.

Properties
Total DFT energy (no corrections) ... -3.942 eV per atom
ΔE_f ... -56 meV/atom

Structure (POSCAR):
```
PmCdCu10
1.0
4.097 0.000 0.000
0.000 5.002 0.000
0.000 0.000 8.696
Cu Pm Cd
10 1 1
Direct
0.500 0.500 0.000
0.500 0.752 0.750
0.500 0.752 0.250
0.000 0.000 0.344
0.000 0.000 0.656
0.000 0.500 0.817
0.000 0.500 0.183
0.500 0.248 0.750
0.500 0.000 0.500
0.500 0.248 0.250
0.000 0.000 0.000
0.000 0.500 0.500
```

3.
DFT (PBE) results for a relaxed AcLaNd2 crystal.

Properties
Total DFT energy (no corrections) ... -4.626 eV per atom
ΔE_f ... 17 meV/atom
ΔE to the lowest computed polymorph ... 0.000 eV per atom

Structure (POSCAR):
```
AcLaNd2
1.0
-2.859 -2.379 3.743
4.346 -2.657 1.631
1.150 3.966 3.399
La Nd Ac
1 2 1
Direct
0.500 0.000 0.000
0.000 0.500 0.000
0.000 0.000 0.500
0.500 0.500 0.500
```

4.
DFT (PBE) results for a relaxed CaReRh2 crystal.

Properties
Total DFT energy (no corrections) ... -7.217 eV per atom
ΔE_f ... 71 meV/atom
ΔE to the lowest computed polymorph ... 0.135 eV per atom

Structure (POSCAR):
```
CaReRh2
1.0
-2.439 2.857 -2.790
0.255 -1.857 -2.124
-4.136 -2.589 0.965
Ca Rh Re
1 2 1
Direct
0.000 0.547 0.430
0.000 0.141 0.939
0.500 0.082 0.308
0.500 0.730 0.823
```

5.
DFT (PBE) results for a relaxed Ba3Nd3SmS8 crystal.

Properties
Total DFT energy (no corrections) ... -5.906 eV per atom

Structure (POSCAR):
```
Ba3Nd3SmS8
1.0
8.353 0.003 0.001
-4.174 7.227 -0.026
-0.001 -4.792 7.310
Nd Ba S Sm
3 3 8 1
Direct
0.500 0.500 0.500
0.000 0.500 0.500
0.500 0.000 0.500
0.000 0.500 0.000
0.500 0.500 0.000
0.000 0.000 0.000
0.765 0.530 0.287
0.765 0.022 0.287
0.743 0.978 0.713
0.740 0.481 0.721
0.257 0.022 0.287
0.235 0.470 0.713
0.260 0.519 0.279
0.235 0.978 0.713
0.000 0.000 0.500
```

6.
DFT (PBE) results for a relaxed MgBe5 crystal.

Properties
Total DFT energy (no corrections) ... -3.116 eV per atom
ΔE_f ... 255 meV/atom
ΔE to the lowest computed polymorph ... 0.199 eV per atom

Structure (POSCAR):
```
MgBe5
1.0
1.281 -7.017 0.000
1.281 7.017 0.000
0.000 0.000 3.538
Mg Be
1 5
Direct
0.889 0.111 0.500
0.569 0.431 0.500
0.200 0.800 0.500
0.670 0.330 0.000
0.045 0.955 0.000
0.294 0.706 0.000
```

7.
DFT (PBE) results for a relaxed ReP crystal.

Properties
Total DFT energy (no corrections) ... -9.141 eV per atom
ΔE_f ... -212 meV/atom
ΔE to the lowest computed polymorph ... 0.077 eV per atom

Structure (POSCAR):
```
ReP
1.0
4.295 0.000 0.346
0.000 3.000 0.000
-0.338 0.000 4.197
Re P
2 2
Direct
0.250 0.250 0.369
0.750 0.750 0.631
0.250 0.750 0.894
0.750 0.250 0.106
```

8.
DFT (PBE) results for a relaxed DyScRu2 crystal.

Properties
Total DFT energy (no corrections) ... -7.781 eV per atom
ΔE_f ... -409 meV/atom

Structure (POSCAR):
```
DyScRu2
1.0
4.657 -0.003 0.002
0.004 5.399 -1.932
-0.002 0.025 5.734
Dy Ru Sc
2 4 2
Direct
0.750 0.129 0.871
0.250 0.871 0.129
0.250 0.868 0.620
0.250 0.380 0.132
0.750 0.132 0.380
0.750 0.620 0.868
0.250 0.380 0.620
0.750 0.620 0.380
```

9.
DFT (PBE) results for a relaxed GaNi crystal.

Properties
Total DFT energy (no corrections) ... -4.669 eV per atom
ΔE_f ... -265 meV/atom

Structure (POSCAR):
```
GaNi
1.0
-3.935 0.021 -1.003
1.696 -3.536 -6.728
-0.583 -4.455 2.195
Ni Ga
6 6
Direct
0.500 0.690 0.009
0.500 0.190 0.509
0.500 0.310 0.009
0.000 0.500 0.132
0.500 0.810 0.509
0.000 0.000 0.632
0.000 0.323 0.718
0.000 0.677 0.718
0.500 0.000 0.916
0.500 0.500 0.416
0.000 0.177 0.218
0.000 0.823 0.218
```

10.
DFT (PBE) results for a relaxed SrSi2Ni4 crystal.

Properties
Total DFT energy (no corrections) ... -5.495 eV per atom

Structure (POSCAR):
```
SrSi2Ni4
1.0
-3.282 -0.855 1.237
-0.091 -6.009 -4.397
3.100 -4.028 5.441
Si Ni Sr
4 8 2
Direct
0.000 0.773 0.227
0.500 0.727 0.727
0.000 0.227 0.773
0.500 0.273 0.273
0.500 0.841 0.418
0.000 0.918 0.659
0.500 0.582 0.159
0.500 0.418 0.841
0.500 0.159 0.582
0.000 0.659 0.918
0.000 0.082 0.341
0.000 0.341 0.082
0.500 0.000 0.000
0.000 0.500 0.500
```

11.
DFT (PBE) results for a relaxed AcOs2O8 crystal.

Properties
Total DFT energy (no corrections) ... -7.473 eV per atom
ΔE to the lowest computed polymorph ... 0.000 eV per atom

Structure (POSCAR):
```
AcOs2O8
1.0
3.816 0.000 -0.001
-0.001 6.092 -3.517
0.000 0.000 7.037
O Os Ac
8 2 1
Direct
0.775 0.333 0.667
0.225 0.667 0.333
0.729 0.814 0.185
0.729 0.815 0.629
0.271 0.186 0.815
0.271 0.629 0.814
0.271 0.185 0.371
0.729 0.371 0.186
0.280 0.333 0.667
0.720 0.667 0.333
0.000 0.000 0.000
```

12.
DFT (PBE) results for a relaxed YCd2Pt crystal.

Properties
Total DFT energy (no corrections) ... -3.958 eV per atom
ΔE_f ... -375 meV/atom

Structure (POSCAR):
```
YCd2Pt
1.0
4.117 0.000 0.000
0.000 4.117 0.000
2.058 2.058 10.989
Pt Cd Y
2 4 2
Direct
0.000 0.000 0.000
0.750 0.250 0.500
0.375 0.360 0.750
0.110 0.625 0.250
0.875 0.890 0.750
0.640 0.125 0.250
0.250 0.750 0.500
0.500 0.500 0.000
```

Density per entry: 14.75; 8.32; 7.20; 10.96; 4.72; 1.81; 13.25; 9.42; 8.09; 6.28; 7.47; 9.07 Mg/m³
Total magnetic moment per entry: 0.000; 0.000; 0.000; 0.000; 0.000; 0.000; 0.000; 0.000; 0.000; 0.000; 0.251; 0.000 μB/f.u.